*w*
Tl2Fe2Pd | the Alexandria database | PBE | relaxed; space-group type = No. 139; volume = 18.37 Å³/atom
1.0
-3.6418 -3.3384 0.8678
2.9421 -2.3476 3.3157
-1.6605 -0.7203 4.7575
Tl Fe Pd
2 2 1
direct
0.7500 0.2500 0.5000 Tl
0.2500 0.7500 0.5000 Tl
0.3639 0.3639 0.2723 Fe
0.6361 0.6361 0.7277 Fe
0.0000 0.0000 0.0000 Pd



*x*
Tl2Fe2Pd | the Alexandria database | PBE | relaxed; space-group type = No. 127; volume = 18.19 Å³/atom
1.0
-0.4288 -6.7071 0.4037
0.8097 -0.4531 -6.6686
3.9749 -0.2241 0.4979
Tl Fe Pd
4 4 2
direct
0.1828 0.6828 0.5000 Tl
0.6828 0.8172 0.5000 Tl
0.8172 0.3172 0.5000 Tl
0.3172 0.1828 0.5000 Tl
0.3815 0.8815 0.0000 Fe
0.8815 0.6185 0.0000 Fe
0.6185 0.1185 0.0000 Fe
0.1185 0.3815 0.0000 Fe
0.0000 0.0000 0.0000 Pd
0.5000 0.5000 0.0000 Pd



The energy of each structure relative to the most stable one, in kJ/mol of atoms, is as follows: *w* 37.0; *x* 0.0.